Entry 1:
The following is a PBE calculation of a relaxed VNiIr crystal, from the Alexandria database.

Cell: 3.230 3.784 3.663 Å, 90.00 90.18 90.00°
Space group P2/m (No. 10)
Asymmetric unit:
V (0.000, 0.000, 0.000) [1 per cell]
Ni (0.500, 0.000, 0.500) [1 per cell]
Ir (0.500, 0.500, 0.000) [1 per cell]

Values from the calculation:
Calculated formation energy, eV/atom: 0.25
Offset from the most stable computed form, meV per atom: 605
DOS at the Fermi energy, states/eV/f.u.: 2.21

---

Entry 2:
The following is a PBE calculation of a relaxed TlTe2Cl crystal, from the Alexandria database.

Cell: 3.6298 3.6298 31.7218 Å, 90.00 90.00 120.00°
Space group R-3m (No. 166, hexagonal axes)
Asymmetric unit:
Tl (0.0000, 0.0000, 0.0000) [3 per cell]
Te (0.0000, 0.0000, 0.4164) [6 per cell]
Cl (0.0000, 0.0000, 0.5000) [3 per cell]

Values from the calculation:
Offset from the most stable computed form, meV per atom: 446
DOS at the Fermi energy, states/eV/f.u.: 3.11
E_form (uncorrected), eV/atom: 0.0446

---

Entry 3:
The following is a PBE calculation of a relaxed Y3HgC crystal, from the Alexandria database.

Cell: 3.570 9.507 7.584 Å, 90.00 103.64 90.00°
Space group P2_1/m (No. 11)
Asymmetric unit:
Y (0.038, 0.250, 0.080) [2 per cell]
Y (0.363, 0.074, 0.730) [4 per cell]
Hg (0.290, 0.750, 0.575) [2 per cell]
C (0.121, 0.750, 0.237) [2 per cell]

Values from the calculation:
Calculated formation energy, eV/atom: -0.23
Offset from the most stable computed form, meV per atom: 194
DOS at the Fermi energy, states/eV/f.u.: 3.97

---

Entry 4:
The following is a PBE calculation of a relaxed Th6InHg crystal, from the Alexandria database.

Cell: 6.297 6.298 6.315 Å, 89.00 88.81 88.93°
Space group P-1 (No. 2)
Asymmetric unit:
Th (0.008, 0.249, 0.494) [2 per cell]
Th (0.249, 0.492, 0.009) [2 per cell]
Th (0.492, 0.006, 0.250) [2 per cell]
In (0.000, 0.000, 0.000) [1 per cell]
Hg (0.500, 0.500, 0.500) [1 per cell]

Values from the calculation:
Calculated formation energy, eV/atom: 0.01
Offset from the most stable computed form, meV per atom: 112
DOS at the Fermi energy, states/eV/f.u.: 8.60